Entry from Alexandria via LeMat-Bulk: a geometry-optimized Cu2HgRh structure (PBE).

## Properties
final energy = -3.84 eV/atom
formation energy from the elements = 0.48 eV per formula unit

abc: 3.052 3.052 6.368
angles: 90.00 90.00 90.00
Space group P4mm (No. 99)
Symmetry-distinct sites (fractional):
Cu 0.000 0.000 0.000 [1 per cell]
Cu 0.500 0.500 0.201 [1 per cell]
Hg 0.000 0.000 0.481 [1 per cell]
Rh 0.500 0.500 0.773 [1 per cell]


Entry from Alexandria via LeMat-Bulk: a geometry-optimized CuHgRh structure (PBE).

## Properties
E above lowest polymorph = 0 meV/atom
final energy = -3.75 eV/atom
formation energy from the elements = 0.50 eV per formula unit

abc: 3.095 3.095 9.857
angles: 90.00 90.00 90.00
Space group I4mm (No. 107)
Symmetry-distinct sites (fractional):
Cu 0.000 0.000 0.000 [2 per cell]
Hg 0.000 0.000 0.329 [2 per cell]
Rh 0.000 0.000 0.643 [2 per cell]


Entry from Alexandria via LeMat-Bulk: a geometry-optimized CuHg2Rh structure (PBE).

## Properties
E above lowest polymorph = 124 meV/atom
final energy = -2.78 eV/atom
formation energy from the elements = 0.95 eV per formula unit

abc: 8.840 3.152 5.227
angles: 90.00 102.81 90.00
Space group C2/m (No. 12)
Symmetry-distinct sites (fractional):
Cu 0.000 0.000 0.000 [2 per cell]
Hg 0.248 0.500 0.246 [4 per cell]
Rh 0.000 0.500 0.500 [2 per cell]


Entry from Alexandria via LeMat-Bulk: a geometry-optimized Cu2HgRh structure (PBE).

## Properties
final energy = -3.56 eV/atom
formation energy from the elements = 1.60 eV per formula unit

abc: 3.824 3.824 18.155
angles: 90.00 90.00 90.00
Space group I-42d (No. 122)
Symmetry-distinct sites (fractional):
Cu 0.223 0.250 0.125 [8 per cell]
Hg 0.000 0.000 0.500 [4 per cell]
Rh 0.000 0.000 0.000 [4 per cell]


Entry from Alexandria via LeMat-Bulk: a geometry-optimized Cu2HgRh structure (PBE).

## Properties
final energy = -3.85 eV/atom
formation energy from the elements = 0.44 eV per formula unit

abc: 4.043 4.043 7.219
angles: 90.00 90.00 90.00
Space group I4/mmm (No. 139)
Symmetry-distinct sites (fractional):
Cu 0.000 0.500 0.250 [4 per cell]
Hg 0.000 0.000 0.000 [2 per cell]
Rh 0.000 0.000 0.500 [2 per cell]


Entry from Alexandria via LeMat-Bulk: a geometry-optimized CuHg2Rh structure (PBE).

## Properties
E above lowest polymorph = 72 meV/atom
final energy = -2.83 eV/atom
formation energy from the elements = 0.74 eV per formula unit

abc: 3.152 4.619 9.540
angles: 90.00 90.00 90.00
Space group Imm2 (No. 44)
Symmetry-distinct sites (fractional):
Cu 0.000 0.000 0.000 [2 per cell]
Hg 0.000 0.000 0.523 [2 per cell]
Hg 0.000 0.500 0.749 [2 per cell]
Rh 0.000 0.500 0.280 [2 per cell]


Entry from Alexandria via LeMat-Bulk: a geometry-optimized Cu3HgRh structure (PBE).

## Properties
E above lowest polymorph = 0 meV/atom
final energy = -3.07 eV/atom
formation energy from the elements = 4.59 eV per formula unit

abc: 4.661 4.661 4.661
angles: 90.00 90.00 90.00
Space group Pm-3m (No. 221)
Symmetry-distinct sites (fractional):
Cu 0.000 0.000 0.500 [3 per cell]
Hg 0.500 0.500 0.500 [1 per cell]
Rh 0.000 0.000 0.000 [1 per cell]


Entry from Alexandria via LeMat-Bulk: a geometry-optimized CuHg2Rh structure (PBE).

## Properties
E above lowest polymorph = 56 meV/atom
final energy = -2.84 eV/atom
formation energy from the elements = 0.68 eV per formula unit

abc: 10.143 3.081 4.732
angles: 90.00 108.84 90.00
Space group Cm (No. 8)
Symmetry-distinct sites (fractional):
Cu 0.000 0.000 0.000 [2 per cell]
Hg 0.037 0.500 0.526 [2 per cell]
Hg 0.256 0.500 0.163 [2 per cell]
Rh 0.290 0.000 0.684 [2 per cell]


Entry from Alexandria via LeMat-Bulk: a geometry-optimized CuHgRh structure (PBE).

## Properties
E above lowest polymorph = 74 meV/atom
final energy = -3.68 eV/atom
formation energy from the elements = 0.72 eV per formula unit

abc: 4.3526 4.3526 2.9326
angles: 90.00 90.00 120.00
Space group P3m1 (No. 156)
Symmetry-distinct sites (fractional):
Cu 0.0000 0.0000 0.0000 [1 per cell]
Hg 0.6667 0.3333 0.3191 [1 per cell]
Rh 0.3333 0.6667 0.7697 [1 per cell]


Entry from Alexandria via LeMat-Bulk: a geometry-optimized Cu2HgRh structure (PBE).

## Properties
final energy = -3.81 eV/atom
formation energy from the elements = 0.61 eV per formula unit

abc: 4.411 3.075 4.555
angles: 90.00 102.79 90.00
Space group P2/m (No. 10)
Symmetry-distinct sites (fractional):
Cu 0.000 0.000 0.000 [1 per cell]
Cu 0.000 0.500 0.500 [1 per cell]
Hg 0.500 0.000 0.500 [1 per cell]
Rh 0.500 0.500 0.000 [1 per cell]


Entry from Alexandria via LeMat-Bulk: a geometry-optimized CuHg3Rh structure (PBE).

## Properties
E above lowest polymorph = 124 meV/atom
final energy = -1.72 eV/atom
formation energy from the elements = 3.76 eV per formula unit

abc: 4.891 4.891 4.891
angles: 90.00 90.00 90.00
Space group Pm-3m (No. 221)
Symmetry-distinct sites (fractional):
Cu 0.000 0.000 0.000 [1 per cell]
Hg 0.000 0.000 0.500 [3 per cell]
Rh 0.500 0.500 0.500 [1 per cell]


Entry from Alexandria via LeMat-Bulk: a geometry-optimized CuHg2Rh structure (PBE).

## Properties
E above lowest polymorph = 165 meV/atom
final energy = -2.73 eV/atom
formation energy from the elements = 1.11 eV per formula unit

abc: 2.9616 2.9616 28.7382
angles: 90.00 90.00 120.00
Space group R3m (No. 160, hexagonal axes)
Symmetry-distinct sites (fractional):
Cu 0.0000 0.0000 0.0000 [3 per cell]
Hg 0.0000 0.0000 0.5174 [3 per cell]
Hg 0.0000 0.0000 0.7455 [3 per cell]
Rh 0.0000 0.0000 0.2649 [3 per cell]


Entry from Alexandria via LeMat-Bulk: a geometry-optimized CuHg2Rh structure (PBE).

## Properties
E above lowest polymorph = 83 meV/atom
final energy = -2.82 eV/atom
formation energy from the elements = 0.78 eV per formula unit

abc: 4.056 4.056 8.381
angles: 90.00 90.00 90.00
Space group I-4m2 (No. 119)
Symmetry-distinct sites (fractional):
Cu 0.000 0.000 0.000 [2 per cell]
Hg 0.000 0.000 0.500 [2 per cell]
Hg 0.000 0.500 0.750 [2 per cell]
Rh 0.000 0.500 0.250 [2 per cell]


Entry from Alexandria via LeMat-Bulk: a geometry-optimized Cu2HgRh structure (PBE).

## Properties
final energy = -3.83 eV/atom
formation energy from the elements = 0.51 eV per formula unit

abc: 3.967 3.967 7.590
angles: 90.00 90.00 90.00
Space group I-4m2 (No. 119)
Symmetry-distinct sites (fractional):
Cu 0.000 0.000 0.000 [2 per cell]
Cu 0.000 0.500 0.250 [2 per cell]
Hg 0.000 0.500 0.750 [2 per cell]
Rh 0.000 0.000 0.500 [2 per cell]


Entry from Alexandria via LeMat-Bulk: a geometry-optimized Cu2HgRh structure (PBE).

## Properties
final energy = -3.81 eV/atom
formation energy from the elements = 0.63 eV per formula unit

abc: 6.218 6.218 6.218
angles: 90.00 90.00 90.00
Space group F-43m (No. 216)
Symmetry-distinct sites (fractional):
Cu 0.000 0.000 0.000 [4 per cell]
Cu 0.250 0.250 0.250 [4 per cell]
Hg 0.000 0.000 0.500 [4 per cell]
Rh 0.250 0.250 0.750 [4 per cell]


Entry from Alexandria via LeMat-Bulk: a geometry-optimized CuHg2Rh structure (PBE).

## Properties
E above lowest polymorph = 57 meV/atom
final energy = -2.84 eV/atom
formation energy from the elements = 0.68 eV per formula unit

abc: 4.260 4.260 7.596
angles: 90.00 90.00 90.00
Space group I4/mmm (No. 139)
Symmetry-distinct sites (fractional):
Cu 0.000 0.000 0.000 [2 per cell]
Hg 0.000 0.500 0.250 [4 per cell]
Rh 0.000 0.000 0.500 [2 per cell]


Entry from Alexandria via LeMat-Bulk: a geometry-optimized CuHg2Rh structure (PBE).

## Properties
E above lowest polymorph = 70 meV/atom
final energy = -2.83 eV/atom
formation energy from the elements = 0.73 eV per formula unit

abc: 3.110 3.110 7.390
angles: 90.00 90.00 90.00
Space group P4mm (No. 99)
Symmetry-distinct sites (fractional):
Cu 0.000 0.000 0.000 [1 per cell]
Hg 0.000 0.000 0.566 [1 per cell]
Hg 0.500 0.500 0.229 [1 per cell]
Rh 0.500 0.500 0.812 [1 per cell]


Entry from Alexandria via LeMat-Bulk: a geometry-optimized Cu2HgRh structure (PBE).

## Properties
final energy = -3.74 eV/atom
formation energy from the elements = 0.87 eV per formula unit

abc: 2.8311 2.8311 26.4097
angles: 90.00 90.00 120.00
Space group R-3m (No. 166, hexagonal axes)
Symmetry-distinct sites (fractional):
Cu 0.0000 0.0000 0.2445 [6 per cell]
Hg 0.0000 0.0000 0.0000 [3 per cell]
Rh 0.0000 0.0000 0.5000 [3 per cell]


Entry from Alexandria via LeMat-Bulk: a geometry-optimized Cu2HgRh structure (PBE).

## Properties
final energy = -3.87 eV/atom
formation energy from the elements = 0.35 eV per formula unit

abc: 3.946 3.946 3.812
angles: 90.00 90.00 90.00
Space group P4/mmm (No. 123)
Symmetry-distinct sites (fractional):
Cu 0.000 0.500 0.000 [2 per cell]
Hg 0.000 0.000 0.500 [1 per cell]
Rh 0.500 0.500 0.500 [1 per cell]


Entry from Alexandria via LeMat-Bulk: a geometry-optimized Cu2HgRh structure (PBE).

## Properties
final energy = -3.82 eV/atom
formation energy from the elements = 0.58 eV per formula unit

abc: 9.429 3.312 4.256
angles: 90.00 116.73 90.00
Space group Cm (No. 8)
Symmetry-distinct sites (fractional):
Cu 0.000 0.000 0.000 [2 per cell]
Cu 0.225 0.500 0.225 [2 per cell]
Hg 0.479 0.000 0.479 [2 per cell]
Rh 0.247 0.000 0.748 [2 per cell]